# MnInCl2 PBE optimized geometry
# - total magnetic moment (μB per atom) = 0.00
# - V (Å³/atom) = 21.8
# - uncorrected formation energy (kJ per mole of atoms) = -11
# - offset from the most stable computed form (eV per atom) = 0.5297
# - crystal system = tetragonal
data_MnInCl2
_chemical_formula_sum 'Mn4 In4 Cl8'
_cell_length_a 7.904
_cell_length_b 7.904
_cell_length_c 5.583
_cell_angle_alpha 90.00
_cell_angle_beta 90.00
_cell_angle_gamma 90.00
_symmetry_space_group_name_H-M 'I -4 2 d'
_symmetry_Int_Tables_number 122
_symmetry_space_group_name_Hall 'I -4 2bw'
loop_
_atom_site_label
_atom_site_type_symbol
_atom_site_fract_x
_atom_site_fract_y
_atom_site_fract_z
Mn1 Mn 0.000 0.000 0.000
In1 In 0.000 0.000 0.500
Cl1 Cl 0.117 0.250 0.125

=====

# MnInCl2 PBE optimized geometry
# - total magnetic moment (μB per atom) = 1.15
# - V (Å³/atom) = 27.0
# - uncorrected formation energy (kJ per mole of atoms) = -52
# - offset from the most stable computed form (eV per atom) = 0.1123
# - crystal system = monoclinic
data_MnInCl2
_chemical_formula_sum 'Mn1 In1 Cl2'
_cell_length_a 3.420
_cell_length_b 3.445
_cell_length_c 9.191
_cell_angle_alpha 90.00
_cell_angle_beta 95.08
_cell_angle_gamma 90.00
_symmetry_space_group_name_H-M 'P 1 2/m 1'
_symmetry_Int_Tables_number 10
_symmetry_space_group_name_Hall '-P 2y'
loop_
_atom_site_label
_atom_site_type_symbol
_atom_site_fract_x
_atom_site_fract_y
_atom_site_fract_z
Mn1 Mn 0.000 0.000 0.000
In1 In 0.000 0.000 0.500
Cl1 Cl 0.156 0.500 0.826

=====

# MnInCl2 PBE optimized geometry
# - total magnetic moment (μB per atom) = 1.13
# - V (Å³/atom) = 26.2
# - uncorrected formation energy (kJ per mole of atoms) = -56
# - offset from the most stable computed form (eV per atom) = 0.0717
# - crystal system = monoclinic
data_MnInCl2
_chemical_formula_sum 'Mn2 In2 Cl4'
_cell_length_a 11.737
_cell_length_b 3.460
_cell_length_c 5.999
_cell_angle_alpha 90.00
_cell_angle_beta 120.58
_cell_angle_gamma 90.00
_symmetry_space_group_name_H-M 'C 1 2/m 1'
_symmetry_Int_Tables_number 12
_symmetry_space_group_name_Hall '-C 2y'
loop_
_atom_site_label
_atom_site_type_symbol
_atom_site_fract_x
_atom_site_fract_y
_atom_site_fract_z
Mn1 Mn 0.000 0.000 0.000
In1 In 0.000 0.500 0.500
Cl1 Cl 0.170 0.500 0.170

=====

# MnInCl2 PBE optimized geometry
# - total magnetic moment (μB per atom) = 1.13
# - V (Å³/atom) = 26.4
# - uncorrected formation energy (kJ per mole of atoms) = -57
# - offset from the most stable computed form (eV per atom) = 0.0607
# - crystal system = monoclinic
data_MnInCl2
_chemical_formula_sum 'Mn2 In2 Cl4'
_cell_length_a 11.663
_cell_length_b 3.487
_cell_length_c 5.927
_cell_angle_alpha 90.00
_cell_angle_beta 118.74
_cell_angle_gamma 90.00
_symmetry_space_group_name_H-M 'C 1 m 1'
_symmetry_Int_Tables_number 8
_symmetry_space_group_name_Hall 'C -2y'
loop_
_atom_site_label
_atom_site_type_symbol
_atom_site_fract_x
_atom_site_fract_y
_atom_site_fract_z
Mn1 Mn 0.000 0.000 0.000
In1 In 0.268 0.000 0.515
Cl1 Cl 0.093 0.500 0.853
Cl2 Cl 0.415 0.000 0.168

=====

# Mn3InCl PBE optimized geometry
# - total magnetic moment (μB per atom) = 2.93
# - V (Å³/atom) = 28.9
# - uncorrected formation energy (kJ per mole of atoms) = 89
# - offset from the most stable computed form (eV per atom) = 0.3118
# - crystal system = cubic
data_Mn3InCl
_chemical_formula_sum 'Mn3 In1 Cl1'
_cell_length_a 5.249
_cell_length_b 5.249
_cell_length_c 5.249
_cell_angle_alpha 90.00
_cell_angle_beta 90.00
_cell_angle_gamma 90.00
_symmetry_space_group_name_H-M 'P m -3 m'
_symmetry_Int_Tables_number 221
_symmetry_space_group_name_Hall '-P 4 2 3'
loop_
_atom_site_label
_atom_site_type_symbol
_atom_site_fract_x
_atom_site_fract_y
_atom_site_fract_z
Mn1 Mn 0.000 0.000 0.500
In1 In 0.000 0.000 0.000
Cl1 Cl 0.500 0.500 0.500

=====

# Mn2InCl5 PBE optimized geometry
# - total magnetic moment (μB per atom) = 1.25
# - V (Å³/atom) = 25.4
# - uncorrected formation energy (kJ per mole of atoms) = -95
# - crystal system = orthorhombic
data_Mn2InCl5
_chemical_formula_sum 'Mn8 In4 Cl20'
_cell_length_a 5.310
_cell_length_b 11.946
_cell_length_c 12.803
_cell_angle_alpha 90.00
_cell_angle_beta 90.00
_cell_angle_gamma 90.00
_symmetry_space_group_name_H-M 'C m c m'
_symmetry_Int_Tables_number 63
_symmetry_space_group_name_Hall '-C 2c 2'
loop_
_atom_site_label
_atom_site_type_symbol
_atom_site_fract_x
_atom_site_fract_y
_atom_site_fract_z
Mn1 Mn 0.000 0.147 0.058
In1 In 0.000 0.470 0.250
Cl1 Cl 0.000 0.049 0.617
Cl2 Cl 0.000 0.213 0.250
Cl3 Cl 0.000 0.333 0.534

=====

# MnIn3Cl6 PBE optimized geometry
# - total magnetic moment (μB per atom) = 0.42
# - V (Å³/atom) = 29.3
# - uncorrected formation energy (kJ per mole of atoms) = -83
# - crystal system = orthorhombic
data_MnIn3Cl6
_chemical_formula_sum 'Mn4 In12 Cl24'
_cell_length_a 8.009
_cell_length_b 10.383
_cell_length_c 14.106
_cell_angle_alpha 90.00
_cell_angle_beta 90.00
_cell_angle_gamma 90.00
_symmetry_space_group_name_H-M 'F m m m'
_symmetry_Int_Tables_number 69
_symmetry_space_group_name_Hall '-F 2 2'
loop_
_atom_site_label
_atom_site_type_symbol
_atom_site_fract_x
_atom_site_fract_y
_atom_site_fract_z
Mn1 Mn 0.000 0.000 0.000
In1 In 0.000 0.000 0.500
In2 In 0.250 0.250 0.250
Cl1 Cl 0.000 0.239 0.000
Cl2 Cl 0.227 0.000 0.125

=====

# MnInCl4 PBE optimized geometry
# - total magnetic moment (μB per atom) = 0.81
# - V (Å³/atom) = 23.7
# - uncorrected formation energy (kJ per mole of atoms) = -72
# - offset from the most stable computed form (eV per atom) = 0.0000
# - crystal system = tetragonal
data_MnInCl4
_chemical_formula_sum 'Mn1 In1 Cl4'
_cell_length_a 4.632
_cell_length_b 4.632
_cell_length_c 6.631
_cell_angle_alpha 90.00
_cell_angle_beta 90.00
_cell_angle_gamma 90.00
_symmetry_space_group_name_H-M 'P 4/m m m'
_symmetry_Int_Tables_number 123
_symmetry_space_group_name_Hall '-P 4 2'
loop_
_atom_site_label
_atom_site_type_symbol
_atom_site_fract_x
_atom_site_fract_y
_atom_site_fract_z
Mn1 Mn 0.000 0.000 0.000
In1 In 0.500 0.500 0.500
Cl1 Cl 0.000 0.500 0.235

=====

# MnInCl2 PBE optimized geometry
# - total magnetic moment (μB per atom) = 1.28
# - V (Å³/atom) = 24.0
# - uncorrected formation energy (kJ per mole of atoms) = -15
# - offset from the most stable computed form (eV per atom) = 0.4895
# - crystal system = cubic
data_MnInCl2
_chemical_formula_sum 'Mn4 In4 Cl8'
_cell_length_a 7.269
_cell_length_b 7.269
_cell_length_c 7.269
_cell_angle_alpha 90.00
_cell_angle_beta 90.00
_cell_angle_gamma 90.00
_symmetry_space_group_name_H-M 'F m -3 m'
_symmetry_Int_Tables_number 225
_symmetry_space_group_name_Hall '-F 4 2 3'
loop_
_atom_site_label
_atom_site_type_symbol
_atom_site_fract_x
_atom_site_fract_y
_atom_site_fract_z
Mn1 Mn 0.000 0.000 0.000
In1 In 0.000 0.000 0.500
Cl1 Cl 0.250 0.250 0.250

=====

# MnInCl2 PBE optimized geometry
# - total magnetic moment (μB per atom) = 1.14
# - V (Å³/atom) = 23.2
# - uncorrected formation energy (kJ per mole of atoms) = -44
# - offset from the most stable computed form (eV per atom) = 0.1940
# - crystal system = tetragonal
data_MnInCl2
_chemical_formula_sum 'Mn1 In1 Cl2'
_cell_length_a 3.217
_cell_length_b 3.217
_cell_length_c 8.987
_cell_angle_alpha 90.00
_cell_angle_beta 90.00
_cell_angle_gamma 90.00
_symmetry_space_group_name_H-M 'P 4/m m m'
_symmetry_Int_Tables_number 123
_symmetry_space_group_name_Hall '-P 4 2'
loop_
_atom_site_label
_atom_site_type_symbol
_atom_site_fract_x
_atom_site_fract_y
_atom_site_fract_z
Mn1 Mn 0.000 0.000 0.000
In1 In 0.000 0.000 0.500
Cl1 Cl 0.500 0.500 0.172

=====

# MnIn5Cl8 PBE optimized geometry
# - total magnetic moment (μB per atom) = 0.28
# - V (Å³/atom) = 34.5
# - uncorrected formation energy (kJ per mole of atoms) = -82
# - crystal system = tetragonal
data_MnIn5Cl8
_chemical_formula_sum 'Mn2 In10 Cl16'
_cell_length_a 9.143
_cell_length_b 9.143
_cell_length_c 11.543
_cell_angle_alpha 90.00
_cell_angle_beta 90.00
_cell_angle_gamma 90.00
_symmetry_space_group_name_H-M 'I -4'
_symmetry_Int_Tables_number 82
_symmetry_space_group_name_Hall 'I -4'
loop_
_atom_site_label
_atom_site_type_symbol
_atom_site_fract_x
_atom_site_fract_y
_atom_site_fract_z
Mn1 Mn 0.000 0.000 0.000
In1 In 0.000 0.500 0.750
In2 In 0.004 0.749 0.369
Cl1 Cl 0.004 0.797 0.622
Cl2 Cl 0.010 0.770 0.067

=====

# MnIn3Cl PBE optimized geometry
# - total magnetic moment (μB per atom) = 0.87
# - V (Å³/atom) = 34.5
# - uncorrected formation energy (kJ per mole of atoms) = 52
# - offset from the most stable computed form (eV per atom) = 0.5016
# - crystal system = cubic
data_MnIn3Cl
_chemical_formula_sum 'Mn1 In3 Cl1'
_cell_length_a 5.567
_cell_length_b 5.567
_cell_length_c 5.567
_cell_angle_alpha 90.00
_cell_angle_beta 90.00
_cell_angle_gamma 90.00
_symmetry_space_group_name_H-M 'P m -3 m'
_symmetry_Int_Tables_number 221
_symmetry_space_group_name_Hall '-P 4 2 3'
loop_
_atom_site_label
_atom_site_type_symbol
_atom_site_fract_x
_atom_site_fract_y
_atom_site_fract_z
Mn1 Mn 0.000 0.000 0.000
In1 In 0.000 0.500 0.500
Cl1 Cl 0.500 0.500 0.500

=====

| no. | total energy (hartree per atom) | DOS(E_F) (states/eV/f.u.) |
| --- | --- | --- |
| 1 | -0.14768 | 7.20 |
| 2 | -0.16302 | 1.38 |
| 3 | -0.16451 | 0.98 |
| 4 | -0.16491 | 0.78 |
| 5 | -0.20181 | 2.61 |
| 6 | -0.17526 | 0.00 |
| 7 | -0.13605 | 1.99 |
| 8 | -0.14552 | 2.30 |
| 9 | -0.14915 | 5.29 |
| 10 | -0.16001 | 1.89 |
| 11 | -0.13020 | 0.15 |
| 12 | -0.12149 | 3.59 |